An optimized crystal structure of CeEr2Os2. Source: Alexandria via LeMat-Bulk, functional PBE.

abc: 10.0684 6.6632 7.0184
angles: 90.00 94.86 90.00
Closest atoms and distances in Å follow each position.
Space group P2_1/c (No. 14)
One atom of each set of equivalent atoms:
Ce1 0.1390 0.1723 0.4965 x4  2 Os 2.57-2.75
Er1 0.2084 0.6627 0.6099 x4  5 Os 2.83-3.00
Er2 0.4852 0.2448 0.0494 x4  3 Os 2.84-2.86
Os1 0.0205 0.5600 0.2890 x4  1 Ce 2.57
Os2 0.3210 0.0196 0.7731 x4  1 Ce 2.75, 5 Er 2.83-2.97

Theoretical density in g/cm3: 12.11
Final energy in eV per atom: -7.6900
V in Å³/cell: 469
Crystal system: monoclinic
DFT formation energy in eV per atom: -0.186
Energy above the most stable polymorph in this dataset in eV/atom: 0.114